{"formula": "Cr2CuMoO", "functional": "GGA+U", "state": "relaxed", "lattice_angstrom": [[5.102, 0.000, 0.000], [0.000, 5.102, 0.000], [0.000, 0.000, 3.504]], "species": ["Cr", "Cr", "Cu", "Mo", "O"], "fractional_positions": [[0.000, 0.500, 0.000], [0.500, 0.000, 0.000], [0.000, 0.000, 0.000], [0.500, 0.500, 0.500], [0.000, 0.000, 0.500]], "dos_at_fermi_per_ev_atom": 0.346, "total_magnetization_mub_per_cell": 6.91, "final_energy_ry_per_atom": -0.3903}